{"formula": "Pm2H", "functional": "PBE", "state": "optimized geometry", "lattice_angstrom": [[0.000, 5.079, 5.079], [5.079, 0.000, 5.079], [5.079, 5.079, 0.000]], "species": ["Pm", "Pm", "Pm", "Pm", "H", "H"], "frac_coords": [[0.000, 0.000, 0.000], [0.000, 0.000, 0.500], [0.000, 0.500, 0.000], [0.500, 0.000, 0.000], [0.125, 0.125, 0.125], [0.875, 0.875, 0.875]], "sg": "No. 227", "total_energy_ha_per_atom": -0.13333, "m_tot_mub_per_cell": 0.083}

=====

{"formula": "Pm2ReH6", "functional": "PBE", "state": "optimized geometry", "lattice_angstrom": [[0.000, 3.653, 3.653], [3.653, 0.000, 3.653], [3.653, 3.653, 0.000]], "species": ["Pm", "Pm", "Re", "H", "H", "H", "H", "H", "H"], "frac_coords": [[0.250, 0.250, 0.250], [0.750, 0.750, 0.750], [0.000, 0.000, 0.000], [0.245, 0.245, 0.755], [0.245, 0.755, 0.245], [0.245, 0.755, 0.755], [0.755, 0.245, 0.245], [0.755, 0.245, 0.755], [0.755, 0.755, 0.245]], "sg": "No. 225", "total_energy_ha_per_atom": -0.18927, "m_tot_mub_per_cell": 0.018}